A plane-wave DFT calculation with PBE-GGA was carried out for a geometry-optimized Y2GaW structure.

- VASP energy (eV per atom) = -6.882

a = 4.9283 Å, b = 4.9283 Å, c = 4.9283 Å
α = 60.00°, β = 60.00°, γ = 60.00°
Element x y z (fractional)
Y 0.0000 0.0000 0.0000
Y 0.2500 0.2500 0.2500
Ga 0.5000 0.5000 0.5000
W 0.7500 0.7500 0.7500